No. 1
A plane-wave DFT calculation with PBE was carried out for a geometry-optimized BiO structure. Values from VASP.

## Properties
Formation energy without anion corrections ... -0.70 eV/atom
Electronic total energy ... -0.188 hartree per atom
Energy above the lowest structure with this stoichiometry ... 0.100 eV per atom
DOS at the Fermi energy ... 6.399 states/eV/cell
Total magnetization ... 0.0 μB per formula unit

Structure (Quantum ESPRESSO input):
```
&SYSTEM
  ibrav = 0, nat = 12, ntyp = 2
/
ATOMIC_SPECIES
O 16.00 O.upf
Bi 208.98 Bi.upf
CELL_PARAMETERS angstrom
-1.0780 5.7123 -6.0915
5.1918 -6.5174 -1.2111
-3.4319 -2.4243 -1.6660
ATOMIC_POSITIONS angstrom
O -1.5801 1.0754 -7.5073
O -2.7874 0.3619 -3.9821
Bi 1.4092 -0.4263 -5.3483
Bi -0.7273 -2.8031 -3.6203
O 1.0005 -1.2447 -3.3154
O 2.2620 -4.3048 -1.4612
Bi -0.7214 1.0498 -3.1073
Bi 0.9078 -5.6949 -2.7806
O -0.3185 -1.9847 -5.6531
O 3.4693 -3.5913 -4.9864
Bi -0.2259 2.4654 -6.1880
Bi 1.4033 -4.2792 -5.8613
```

=====

No. 2
A plane-wave DFT calculation with PBE was carried out for a geometry-optimized BiO structure. Values from VASP.

## Properties
Formation energy without anion corrections ... -0.72 eV/atom
Electronic total energy ... -0.189 hartree per atom
Energy above the lowest structure with this stoichiometry ... 0.085 eV per atom
DOS at the Fermi energy ... 8.064 states/eV/cell
Total magnetization ... 0.0 μB per formula unit

Structure (Quantum ESPRESSO input):
```
&SYSTEM
  ibrav = 0, nat = 16, ntyp = 2
/
ATOMIC_SPECIES
O 16.00 O.upf
Bi 208.98 Bi.upf
CELL_PARAMETERS angstrom
-7.5073 4.6129 -0.4798
-4.6256 -7.3812 1.4111
0.1690 0.7296 4.3702
ATOMIC_POSITIONS angstrom
O -9.7448 -1.6963 0.6600
O -7.0832 1.3449 2.2986
Bi -7.6650 0.4741 0.2172
O -8.3702 -2.0913 2.9220
Bi -1.7879 -1.2013 2.5190
Bi -10.1760 -0.8374 2.7825
Bi -5.8243 3.1195 1.9537
Bi -4.4680 -3.2424 0.7141
O -4.8808 -3.3835 3.0029
Bi -6.1396 -5.1581 3.3478
O -3.5938 0.0527 2.3794
O -2.3882 -1.0720 0.2713
Bi -7.9389 -2.9502 0.7995
O -5.7268 -5.0170 1.0590
Bi -4.1940 0.1819 0.1318
O -6.4061 2.2487 -0.1277
```

=====

No. 3
A plane-wave DFT calculation with PBE was carried out for a geometry-optimized BiO4 structure. Values from VASP.

## Properties
Formation energy without anion corrections ... -0.46 eV/atom
Electronic total energy ... -0.191 hartree per atom
Energy above the lowest structure with this stoichiometry ... 0.000 eV per atom
DOS at the Fermi energy ... 2.346 states/eV/cell
Total magnetization ... 2.0 μB per formula unit

Structure (Quantum ESPRESSO input):
```
&SYSTEM
  ibrav = 0, nat = 5, ntyp = 2
/
ATOMIC_SPECIES
O 16.00 O.upf
Bi 208.98 Bi.upf
CELL_PARAMETERS angstrom
-3.0449 -0.7481 1.7142
-2.8247 -1.2133 -1.8217
-1.1548 -9.6281 1.1948
ATOMIC_POSITIONS angstrom
O -6.0090 -7.2010 0.5732
O -1.0154 -4.3885 0.5141
O -3.4212 -9.3490 1.0170
Bi 0.0000 0.0000 0.0000
O -3.6031 -2.2405 0.0704
```

=====

No. 4
A plane-wave DFT calculation with PBE was carried out for a geometry-optimized BiO structure. Values from VASP.

## Properties
Formation energy without anion corrections ... -0.78 eV/atom
Electronic total energy ... -0.191 hartree per atom
Energy above the lowest structure with this stoichiometry ... 0.023 eV per atom
DOS at the Fermi energy ... 7.378 states/eV/cell
Total magnetization ... 0.0 μB per formula unit

Structure (Quantum ESPRESSO input):
```
&SYSTEM
  ibrav = 0, nat = 32, ntyp = 2
/
ATOMIC_SPECIES
Bi 208.98 Bi.upf
O 16.00 O.upf
CELL_PARAMETERS angstrom
8.3660 0.0000 0.0000
0.0000 10.4969 0.0000
0.0000 0.0000 7.4936
ATOMIC_POSITIONS angstrom
Bi 6.2745 2.6242 3.7650
Bi 6.2745 2.6242 7.4753
O 0.0000 9.1116 3.7468
O 4.1830 9.1116 0.0000
O 2.0915 6.4874 5.6202
Bi 4.1830 0.0000 1.8552
Bi 4.1830 5.2484 1.8916
O 4.1830 6.6337 3.7468
Bi 0.0000 5.2484 1.8552
Bi 0.0000 0.0000 5.6019
O 4.1830 1.3853 0.0000
Bi 2.0915 7.8726 7.4753
Bi 4.1830 5.2484 5.6019
O 6.2745 4.0095 5.6202
Bi 2.0915 2.6242 3.7285
O 6.2745 6.4874 1.8734
Bi 0.0000 0.0000 1.8916
Bi 6.2745 7.8726 3.7285
O 2.0915 1.2390 1.8734
Bi 2.0915 2.6242 0.0182
O 4.1830 3.8632 3.7468
O 0.0000 6.6337 0.0000
Bi 4.1830 0.0000 5.6384
O 2.0915 9.2579 5.6202
O 0.0000 1.3853 3.7468
O 0.0000 3.8632 0.0000
Bi 0.0000 5.2484 5.6384
O 6.2745 1.2390 5.6202
O 2.0915 4.0095 1.8734
Bi 6.2745 7.8726 0.0182
Bi 2.0915 7.8726 3.7650
O 6.2745 9.2579 1.8734
```

=====

No. 5
A plane-wave DFT calculation with PBE was carried out for a geometry-optimized Bi19O30 structure. Values from VASP.

## Properties
Formation energy without anion corrections ... -1.14 eV/atom
Electronic total energy ... -0.209 hartree per atom
DOS at the Fermi energy ... 36.165 states/eV/cell
Total magnetization ... 0.0 μB per formula unit

Structure (Quantum ESPRESSO input):
```
&SYSTEM
  ibrav = 0, nat = 98, ntyp = 2
/
ATOMIC_SPECIES
Bi 208.98 Bi.upf
O 16.00 O.upf
CELL_PARAMETERS angstrom
9.0416 0.0000 0.0000
0.0000 14.7510 0.0000
0.0000 -7.3755 12.7748
ATOMIC_POSITIONS angstrom
Bi 6.1901 13.5110 1.8674
Bi 5.9330 1.1297 10.8737
O 3.9025 -4.6507 12.1738
O 2.2612 4.6446 4.9239
Bi 5.1799 8.5199 7.8722
O 1.0935 -4.7591 11.2691
Bi 2.2936 -3.7231 7.7283
Bi 7.0353 5.9685 0.8606
O 2.2612 8.1645 1.5604
Bi 5.9330 1.4765 6.3596
O 8.1638 12.5467 1.2702
Bi 2.8105 9.6186 4.2630
Bi 8.8835 2.2571 8.6210
Bi 7.0353 5.1366 7.1756
O 8.2278 2.0097 10.6014
O 5.3838 4.6972 0.5235
O 6.6359 10.0580 8.0086
Bi 2.9800 0.9535 2.1034
Bi 8.2905 3.8356 12.1636
O 5.2643 7.3870 2.3456
Bi 8.8835 -1.0381 6.5095
O 6.8432 2.6869 7.8467
Bi 4.0108 3.8185 8.9772
Bi 8.2905 1.2406 3.3712
O 5.0900 0.0000 8.5165
O 1.0935 4.7633 11.2617
O 4.1847 0.0026 11.8302
Bi 8.2905 -5.0762 10.0148
O 8.3407 4.7137 8.9416
O 7.0736 9.9679 2.7552
Bi 2.8105 6.2581 2.3133
Bi 7.0353 11.0215 4.7385
O 6.8432 -1.9236 6.5245
O 8.6014 0.0000 8.5165
O 1.0935 -0.0043 3.0188
O 2.3565 -1.6817 9.4644
Bi 8.8864 8.4823 6.5338
O 5.3838 11.9491 3.8061
O 8.1638 2.2023 1.2739
O 8.1638 7.3776 10.2306
O 7.0736 7.3810 7.2549
O 3.6517 1.9067 4.2049
Bi 0.8580 3.5512 0.5414
Bi 0.8580 6.0688 9.4286
O 5.2979 12.0219 0.6515
O 6.8432 -0.7633 11.1784
Bi 5.9330 -2.6062 8.3163
O 8.3407 -2.7249 12.3861
O 5.2643 5.7134 5.2047
Bi 4.0108 -1.5102 4.9793
O 3.6517 2.7806 12.3236
O 4.1847 -2.8711 6.8620
Bi 8.8864 4.8515 4.0790
Bi 8.8864 8.7928 2.1620
O 3.9025 -0.8420 2.6602
O 6.0539 0.0000 0.0000
Bi 4.0108 -2.3082 11.5930
Bi 6.1901 2.2373 0.1403
O 8.0622 7.3755 4.2583
O 0.7164 5.4939 2.2574
Bi 6.1901 6.3784 10.7671
Bi 5.1799 3.6736 3.4423
O 5.2979 1.9288 2.0378
O 3.9025 5.4927 10.7155
O 2.3295 12.0225 4.6264
Bi 6.0078 7.3755 4.2583
O 0.7164 10.0492 3.6292
O 2.3565 1.6617 9.4990
O 2.3295 4.7332 8.0986
O 8.2278 0.8007 5.7336
O 3.6517 -4.6873 9.0210
O 5.2643 9.0263 5.2245
O 2.3565 0.0200 6.5862
O 8.2278 -2.8105 9.2145
O 2.4077 7.3755 4.2583
Bi 8.8835 -1.2191 10.4190
Bi 2.9800 -6.0306 10.8973
O 0.7164 6.5835 6.8882
O 8.3407 -1.9887 4.2219
Bi 2.2936 1.1789 12.1349
Bi 2.8105 6.2499 6.1985
O 7.0736 4.7777 2.7647
O 2.2612 9.3175 6.2905
O 6.6359 2.7864 4.7062
O 2.8242 0.0000 0.0000
Bi 3.0464 0.0000 8.5165
Bi 0.8580 12.5066 2.8047
O 2.3295 5.3709 0.0497
Bi 2.2936 2.5442 5.6864
O 6.6359 9.2821 0.0600
O 0.6259 2.7903 3.7557
O 0.6259 10.1034 0.5386
O 0.6259 9.2329 8.4804
O 5.3838 5.4803 8.4452
Bi 5.1799 9.9331 1.4603
O 5.2979 8.1759 10.0855
O 4.1847 2.8684 6.8574
Bi 2.9800 5.0771 12.5488
```

=====

No. 6
A plane-wave DFT calculation with PBE was carried out for a geometry-optimized Bi4O7 structure. Values from VASP.

## Properties
Formation energy without anion corrections ... -0.97 eV/atom
Electronic total energy ... -0.203 hartree per atom
Energy above the lowest structure with this stoichiometry ... 0.159 eV per atom
DOS at the Fermi energy ... 19.503 states/eV/cell
Total magnetization ... 1.2 μB per formula unit

Structure (Quantum ESPRESSO input):
```
&SYSTEM
  ibrav = 0, nat = 22, ntyp = 2
/
ATOMIC_SPECIES
Bi 208.98 Bi.upf
O 16.00 O.upf
CELL_PARAMETERS angstrom
7.8925 0.0000 0.0000
0.0000 7.8925 0.0000
0.0000 0.0000 5.5782
ATOMIC_POSITIONS angstrom
Bi 5.8328 3.9482 1.3334
O 1.9748 5.9211 2.7891
Bi 1.8866 7.8905 1.3334
Bi 0.0020 1.8866 4.2448
O 5.9198 1.9735 0.0000
O 1.9714 1.9748 2.7891
Bi 6.0059 0.0020 1.3334
O 5.9177 1.9714 2.7891
Bi 7.8905 6.0059 4.2448
O 3.9463 3.9463 2.7891
O 0.0000 3.9463 0.0000
O 0.0000 0.0000 2.7891
Bi 3.9482 2.0597 4.2448
O 3.9463 3.9463 0.0000
O 0.0000 0.0000 0.0000
Bi 2.0597 3.9443 1.3334
O 5.9211 5.9177 2.7891
O 1.9735 1.9727 0.0000
O 1.9727 5.9190 0.0000
O 5.9190 5.9198 0.0000
Bi 3.9443 5.8328 4.2448
O 3.9463 0.0000 0.0000
```

=====

No. 7
A plane-wave DFT calculation with PBE was carried out for a geometry-optimized BiO structure. Values from VASP.

## Properties
Formation energy without anion corrections ... -0.57 eV/atom
Electronic total energy ... -0.183 hartree per atom
Energy above the lowest structure with this stoichiometry ... 0.232 eV per atom
DOS at the Fermi energy ... 13.788 states/eV/cell
Total magnetization ... 0.0 μB per formula unit

Structure (Quantum ESPRESSO input):
```
&SYSTEM
  ibrav = 0, nat = 16, ntyp = 2
/
ATOMIC_SPECIES
Bi 208.98 Bi.upf
O 16.00 O.upf
CELL_PARAMETERS angstrom
-5.2575 -4.7360 2.8616
3.3290 -5.8603 -3.5826
4.4200 -1.2197 6.1022
ATOMIC_POSITIONS angstrom
Bi 0.1988 -7.4543 1.5653
O 5.9963 -6.7641 2.5656
Bi -3.1126 -5.1226 2.8052
Bi 3.3906 -6.2945 2.6342
Bi 3.3730 -2.7660 4.9769
Bi 0.5586 -5.9237 4.7596
O 1.5814 -7.5002 3.4157
O -0.2761 -5.9428 7.2731
Bi 0.8349 -3.9594 1.8032
O -0.5069 -5.5921 2.7366
O -1.0731 -9.3328 0.1984
O 2.1012 -4.6445 3.6100
Bi 2.0806 -9.8674 4.4937
Bi 2.6419 -5.8760 -1.5136
O 1.8072 -5.8951 0.9999
O 0.3357 -1.5922 0.7251
```

=====

No. 8
A plane-wave DFT calculation with PBE was carried out for a geometry-optimized Bi2O5 structure. Values from VASP.

## Properties
Formation energy without anion corrections ... -0.61 eV/atom
Electronic total energy ... -0.193 hartree per atom
Energy above the lowest structure with this stoichiometry ... 0.000 eV per atom
DOS at the Fermi energy ... 2.696 states/eV/cell
Total magnetization ... 0.1 μB per formula unit

Structure (Quantum ESPRESSO input):
```
&SYSTEM
  ibrav = 0, nat = 14, ntyp = 2
/
ATOMIC_SPECIES
O 16.00 O.upf
Bi 208.98 Bi.upf
CELL_PARAMETERS angstrom
-4.0831 3.1321 3.0453
1.8352 -0.6189 -5.6573
-6.7077 -7.4176 -1.3645
ATOMIC_POSITIONS angstrom
O -3.3656 -1.6839 -2.2061
O -4.8808 -5.1140 -4.2026
O -2.3802 -3.3727 -4.6792
Bi -4.0769 -3.4135 -3.2582
Bi -2.3379 1.3188 -0.2014
O -1.7055 0.1520 -1.8684
Bi -4.8787 -1.4909 -0.7183
O -4.0748 0.2096 0.2261
Bi -6.6177 -6.2231 -3.7751
O -6.5754 -1.5316 0.7027
O -7.2501 -5.0563 -2.1081
O -5.5899 -3.2205 -1.7704
O 0.5035 -0.1838 -4.0926
O -9.4591 -4.7206 0.1161
```

=====

No. 9
A plane-wave DFT calculation with PBE was carried out for a geometry-optimized BiO structure. Values from VASP.

## Properties
Formation energy without anion corrections ... -0.76 eV/atom
Electronic total energy ... -0.191 hartree per atom
Energy above the lowest structure with this stoichiometry ... 0.039 eV per atom
DOS at the Fermi energy ... 1.404 states/eV/cell
Total magnetization ... 0.0 μB per formula unit

Structure (Quantum ESPRESSO input):
```
&SYSTEM
  ibrav = 0, nat = 16, ntyp = 2
/
ATOMIC_SPECIES
Bi 208.98 Bi.upf
O 16.00 O.upf
CELL_PARAMETERS angstrom
-6.2811 -2.9802 -1.0062
2.8853 -5.6197 -1.3662
-0.2446 -1.7746 6.7831
ATOMIC_POSITIONS angstrom
Bi -1.9703 -3.0992 5.3483
Bi -5.1283 -4.2681 3.2880
O -0.3773 -2.3171 -0.0151
O -2.9322 -7.5765 0.9355
O 2.2721 -6.8775 4.2804
O -0.0410 -5.9758 2.6680
Bi -1.5951 -7.1795 -0.9744
Bi 0.5718 -5.4476 4.8902
O -3.9303 -4.8797 5.2331
Bi -4.1040 -4.9358 -0.4132
Bi -2.6238 -6.5434 2.8477
Bi 1.4173 -6.1706 1.0388
Bi -1.1292 -3.8538 1.6177
O -2.8095 -2.2787 1.6722
O -4.9258 -6.5444 2.9968
O -1.8177 -5.0484 -0.1279
```